# 1
## BaCa2Cu (GGA-PBE)

Data for BaCa2Cu after structural relaxation.

```
data_BaCa2Cu
_cell_length_a 13.933
_cell_length_b 3.821
_cell_length_c 6.105
_cell_angle_alpha 90.00
_cell_angle_beta 115.89
_cell_angle_gamma 90.00
_space_group_name_H-M_alt 'C 1 2/m 1'
_space_group_IT_number 12
loop_
_space_group_symop_operation_xyz
'x,y,z'
'-x,-y,-z'
'-x,y,-z'
'x,-y,z'
'x+1/2,y+1/2,z'
'-x+1/2,-y+1/2,-z'
'-x+1/2,y+1/2,-z'
'x+1/2,-y+1/2,z'
loop_
_atom_site_label
_atom_site_type_symbol
_atom_site_fract_x
_atom_site_fract_y
_atom_site_fract_z
_atom_site_occupancy
Ba1 Ba 0.000 0.000 0.000 1
Ca1 Ca 0.187 0.000 0.687 1
Cu1 Cu 0.000 0.500 0.500 1
```

Values from the calculation:
Magnetic moment, μB per atom: 0.000

---

# 2
## BaCaCu (GGA-PBE)

Data for BaCaCu after structural relaxation.

```
data_BaCaCu
_cell_length_a 4.4562
_cell_length_b 4.4562
_cell_length_c 6.9701
_cell_angle_alpha 90.00
_cell_angle_beta 90.00
_cell_angle_gamma 120.00
_space_group_name_H-M_alt 'P 3 m 1'
_space_group_IT_number 156
loop_
_space_group_symop_operation_xyz
'x,y,z'
'-y,x-y,z'
'-x+y,-x,z'
'-y,-x,z'
'-x+y,y,z'
'x,x-y,z'
loop_
_atom_site_label
_atom_site_type_symbol
_atom_site_fract_x
_atom_site_fract_y
_atom_site_fract_z
_atom_site_occupancy
Ba1 Ba 0.0000 0.0000 0.0000 1
Ca1 Ca 0.6667 0.3333 0.5170 1
Cu1 Cu 0.3333 0.6667 0.7230 1
```

Values from the calculation:
Magnetic moment, μB per atom: 0.000

---

# 3
## Ba2CaCu9 (GGA-PBE)

Data for Ba2CaCu9 after structural relaxation.

```
data_Ba2CaCu9
_cell_length_a 5.3453
_cell_length_b 5.3453
_cell_length_c 26.7655
_cell_angle_alpha 90.00
_cell_angle_beta 90.00
_cell_angle_gamma 120.00
_space_group_name_H-M_alt 'R -3 m'
_space_group_IT_number 166
_space_group_name_Hall '-R 3 2"'
loop_
_atom_site_label
_atom_site_type_symbol
_atom_site_fract_x
_atom_site_fract_y
_atom_site_fract_z
_atom_site_occupancy
Ba1 Ba 0.0000 0.0000 0.1392 1
Ca1 Ca 0.0000 0.0000 0.0000 1
Cu1 Cu 0.0000 0.0000 0.3312 1
Cu2 Cu 0.0000 0.0000 0.5000 1
Cu3 Cu 0.0087 0.5044 0.0741 1
```

Values from the calculation:
Magnetic moment, μB per atom: 0.000

---

# 4
## Ba2CaCu (GGA-PBE)

Data for Ba2CaCu after structural relaxation.

```
data_Ba2CaCu
_cell_length_a 5.166
_cell_length_b 4.221
_cell_length_c 8.425
_cell_angle_alpha 90.00
_cell_angle_beta 107.84
_cell_angle_gamma 90.00
_space_group_name_H-M_alt 'P 1 m 1'
_space_group_IT_number 6
loop_
_space_group_symop_operation_xyz
'x,y,z'
'x,-y,z'
loop_
_atom_site_label
_atom_site_type_symbol
_atom_site_fract_x
_atom_site_fract_y
_atom_site_fract_z
_atom_site_occupancy
Ba1 Ba 0.000 0.000 0.000 1
Ba2 Ba 0.328 0.500 0.654 1
Ca1 Ca 0.679 0.000 0.356 1
Cu1 Cu 0.538 0.500 0.079 1
```

Values from the calculation:
Magnetic moment, μB per atom: 0.000

---

# 5
## Ba4Ca2Cu (GGA-PBE)

Data for Ba4Ca2Cu after structural relaxation.

```
data_Ba4Ca2Cu
_cell_length_a 6.184
_cell_length_b 6.184
_cell_length_c 20.525
_cell_angle_alpha 90.00
_cell_angle_beta 90.00
_cell_angle_gamma 90.00
_space_group_name_H-M_alt 'I 4/m m m'
_space_group_IT_number 139
_space_group_name_Hall '-I 4 2'
loop_
_atom_site_label
_atom_site_type_symbol
_atom_site_fract_x
_atom_site_fract_y
_atom_site_fract_z
_atom_site_occupancy
Ba1 Ba 0.000 0.000 0.163 1
Ba2 Ba 0.000 0.500 0.000 1
Ca1 Ca 0.000 0.000 0.364 1
Cu1 Cu 0.000 0.000 0.000 1
```

Values from the calculation:
Magnetic moment, μB per atom: 0.000

---

# 6
## Ba2CaCu (GGA-PBE)

Data for Ba2CaCu after structural relaxation.

```
data_Ba2CaCu
_cell_length_a 8.363
_cell_length_b 8.363
_cell_length_c 8.363
_cell_angle_alpha 90.00
_cell_angle_beta 90.00
_cell_angle_gamma 90.00
_space_group_name_H-M_alt 'F -4 3 m'
_space_group_IT_number 216
_space_group_name_Hall 'F -4 2 3'
loop_
_atom_site_label
_atom_site_type_symbol
_atom_site_fract_x
_atom_site_fract_y
_atom_site_fract_z
_atom_site_occupancy
Ba1 Ba 0.000 0.000 0.000 1
Ba2 Ba 0.250 0.250 0.250 1
Ca1 Ca 0.250 0.250 0.750 1
Cu1 Cu 0.000 0.000 0.500 1
```

Values from the calculation:
Magnetic moment, μB per atom: 0.000

---

For the records above, the corresponding formation energy from the elements values read 0.018; 0.067; 0.034; 0.075; 0.162; 0.285 eV per atom.